Below is an optimized crystal structure of Al2BrO, with properties calculated at the GGA-PBE level.

Calculated values
Formation energy without anion corrections = -0.7434 eV per atom
Raw total energy = -34.2 eV for the cell shown
Crystal system = tetragonal

```
data_Al2BrO
_chemical_formula_sum 'Al4 Br2 O2'
_cell_length_a 7.118
_cell_length_b 7.118
_cell_length_c 7.118
_cell_angle_alpha 138.10
_cell_angle_beta 138.10
_cell_angle_gamma 60.75
_space_group_name_H-M_alt 'P 1'
_space_group_IT_number 1
loop_
_space_group_symop_operation_xyz
'x,y,z'
loop_
_atom_site_label
_atom_site_fract_x
_atom_site_fract_y
_atom_site_fract_z
Al1 0.375 0.174 0.299
Al2 0.826 0.125 0.201
Al3 0.875 0.076 0.701
Al4 0.924 0.625 0.799
Br1 0.250 0.750 0.500
Br2 0.500 0.500 0.000
O1 0.000 0.000 0.000
O2 0.750 0.250 0.500
```

Below is an optimized crystal structure of CrPtW2, with properties calculated at the GGA-PBE level.

Calculated values
Energy of formation from the pure elements = 2.57 eV/f.u.
Raw total energy = -78.0 eV for the cell shown
Crystal system = tetragonal

```
data_CrPtW2
_chemical_formula_sum 'Cr2 Pt2 W4'
_cell_length_a 9.927
_cell_length_b 9.927
_cell_length_c 9.927
_cell_angle_alpha 158.29
_cell_angle_beta 158.29
_cell_angle_gamma 30.90
_space_group_name_H-M_alt 'P 1'
_space_group_IT_number 1
loop_
_space_group_symop_operation_xyz
'x,y,z'
loop_
_atom_site_label
_atom_site_fract_x
_atom_site_fract_y
_atom_site_fract_z
Cr1 0.000 0.000 0.000
Cr2 0.750 0.250 0.500
Pt1 0.250 0.750 0.500
Pt2 0.500 0.500 0.000
W1 0.114 0.625 0.989
W2 0.375 0.364 0.489
W3 0.636 0.125 0.011
W4 0.875 0.886 0.511
```

Fermi-level density of states list, top to bottom, in states/eV/f.u.: 1.2; 4.9